Entry 1:
Crystalline ZrTiVCo at its relaxed geometry. Source: Alexandria, functional PBE-GGA.

Summary:
magnetic moment = 1.87 μB per formula unit
crystal system = cubic
energy = -8.21 eV/atom

a b c (Å): 4.4557 4.4557 4.4557
angles (deg): 60.00 60.00 60.00
Positions (direct):
Zr  0.0000  0.0000  0.0000
Ti  0.5000  0.5000  0.5000
V  0.7500  0.7500  0.7500
Co  0.2500  0.2500  0.2500

Entry 2:
Crystalline TiCoW2 at its relaxed geometry. Source: Alexandria, functional PBE-GGA.

Summary:
magnetic moment = 1.56 μB per formula unit
crystal system = cubic
energy = -10.01 eV/atom

a b c (Å): 4.3563 4.3563 4.3563
angles (deg): 60.00 60.00 60.00
Positions (direct):
Ti  0.0000  0.0000  0.0000
Co  0.5000  0.5000  0.5000
W  0.2500  0.2500  0.2500
W  0.7500  0.7500  0.7500

Entry 3:
Crystalline Ti2CoW2 at its relaxed geometry. Source: Alexandria, functional PBE-GGA.

Summary:
magnetic moment = 0.00 μB per formula unit
crystal system = tetragonal
energy = -8.76 eV/atom

a b c (Å): 7.2821 7.2821 7.2821
angles (deg): 152.66 152.66 39.05
Positions (direct):
Ti  0.2500  0.7500  0.5000
Ti  0.7500  0.2500  0.5000
Co  0.0000  0.0000  0.0000
W  0.4129  0.4129  0.0000
W  0.5871  0.5871  0.0000

Entry 4:
Crystalline Ti5Co4W at its relaxed geometry. Source: Alexandria, functional PBE-GGA.

Summary:
magnetic moment = 0.00 μB per formula unit
crystal system = tetragonal
energy = -8.39 eV/atom

a b c (Å): 3.0474 3.0474 14.7886
angles (deg): 90.00 90.00 90.00
Positions (direct):
Ti  0.0000  0.0000  0.0000
Ti  0.0000  0.0000  0.1938
Ti  0.0000  0.0000  0.3913
Ti  0.0000  0.0000  0.6087
Ti  0.0000  0.0000  0.8062
Co  0.5000  0.5000  0.0962
Co  0.5000  0.5000  0.2871
Co  0.5000  0.5000  0.7129
Co  0.5000  0.5000  0.9038
W  0.5000  0.5000  0.5000

Entry 5:
Crystalline TiCo4W at its relaxed geometry. Source: Alexandria, functional PBE-GGA.

Summary:
magnetic moment = 2.02 μB per formula unit
crystal system = cubic
energy = -8.32 eV/atom

a b c (Å): 4.6863 4.6863 4.6863
angles (deg): 60.00 60.00 60.00
Positions (direct):
Ti  0.0000  0.0000  0.0000
Co  0.1243  0.6252  0.6252
Co  0.6252  0.1243  0.6252
Co  0.6252  0.6252  0.1243
Co  0.6252  0.6252  0.6252
W  0.2500  0.2500  0.2500

Entry 6:
Crystalline TiCo2W2 at its relaxed geometry. Source: Alexandria, functional PBE-GGA.

Summary:
magnetic moment = 0.00 μB per formula unit
crystal system = tetragonal
energy = -9.51 eV/atom

a b c (Å): 7.1173 7.1173 2.7792
angles (deg): 90.00 90.00 90.00
Positions (direct):
Ti  0.0000  0.0000  0.0000
Ti  0.5000  0.5000  0.0000
Co  0.1237  0.3763  0.0000
Co  0.3763  0.8763  0.0000
Co  0.6237  0.1237  0.0000
Co  0.8763  0.6237  0.0000
W  0.1736  0.6736  0.5000
W  0.3264  0.1736  0.5000
W  0.6736  0.8264  0.5000
W  0.8264  0.3264  0.5000

Entry 7:
Crystalline TiCo2W at its relaxed geometry. Source: Alexandria, functional PBE-GGA.

Summary:
magnetic moment = 0.00 μB per formula unit
crystal system = tetragonal
energy = -8.20 eV/atom

a b c (Å): 8.5163 8.5163 8.5163
angles (deg): 154.20 154.20 36.81
Positions (direct):
Ti  0.0000  0.0000  0.0000
Ti  0.7500  0.2500  0.5000
Co  0.1228  0.6250  0.9978
Co  0.3750  0.3728  0.4978
Co  0.6272  0.1250  0.0022
Co  0.8750  0.8772  0.5022
W  0.2500  0.7500  0.5000
W  0.5000  0.5000  0.0000

Entry 8:
Crystalline Ti3CoW at its relaxed geometry. Source: Alexandria, functional PBE-GGA.

Summary:
magnetic moment = 0.00 μB per formula unit
crystal system = cubic
energy = -8.17 eV/atom

a b c (Å): 4.4070 4.4070 4.4070
angles (deg): 90.00 90.00 90.00
Positions (direct):
Ti  0.0000  0.0000  0.5000
Ti  0.0000  0.5000  0.0000
Ti  0.5000  0.0000  0.0000
Co  0.0000  0.0000  0.0000
W  0.5000  0.5000  0.5000

Entry 9:
Crystalline Ti4Co5W at its relaxed geometry. Source: Alexandria, functional PBE-GGA.

Summary:
magnetic moment = 0.23 μB per formula unit
crystal system = tetragonal
energy = -8.27 eV/atom

a b c (Å): 2.8581 2.8581 16.0093
angles (deg): 90.00 90.00 90.00
Positions (direct):
Ti  0.0000  0.0000  0.0986
Ti  0.0000  0.0000  0.2957
Ti  0.0000  0.0000  0.7043
Ti  0.0000  0.0000  0.9014
Co  0.5000  0.5000  0.0000
Co  0.5000  0.5000  0.2001
Co  0.5000  0.5000  0.3909
Co  0.5000  0.5000  0.6091
Co  0.5000  0.5000  0.7999
W  0.0000  0.0000  0.5000

Entry 10:
Crystalline TiCoW2 at its relaxed geometry. Source: Alexandria, functional PBE-GGA.

Summary:
magnetic moment = 0.00 μB per formula unit
crystal system = tetragonal
energy = -9.68 eV/atom

a b c (Å): 5.6161 5.6161 5.6161
angles (deg): 101.60 101.60 126.71
Positions (direct):
Ti  0.0000  0.0000  0.0000
Ti  0.7500  0.2500  0.5000
Co  0.2500  0.7500  0.5000
Co  0.5000  0.5000  0.0000
W  0.1613  0.6250  0.0363
W  0.3750  0.4113  0.5363
W  0.5887  0.1250  0.9637
W  0.8750  0.8387  0.4637

Entry 11:
Crystalline TiCoW3 at its relaxed geometry. Source: Alexandria, functional PBE-GGA.

Summary:
magnetic moment = 0.00 μB per formula unit
crystal system = cubic
energy = -8.59 eV/atom

a b c (Å): 4.5122 4.5122 4.5122
angles (deg): 90.00 90.00 90.00
Positions (direct):
Ti  0.0000  0.0000  0.0000
Co  0.5000  0.5000  0.5000
W  0.0000  0.0000  0.5000
W  0.0000  0.5000  0.0000
W  0.5000  0.0000  0.0000

Entry 12:
Crystalline Ti2Co2W at its relaxed geometry. Source: Alexandria, functional PBE-GGA.

Summary:
magnetic moment = 0.00 μB per formula unit
crystal system = tetragonal
energy = -8.71 eV/atom

a b c (Å): 6.9423 6.9423 2.8700
angles (deg): 90.00 90.00 90.00
Positions (direct):
Ti  0.1646  0.3354  0.0000
Ti  0.3354  0.8354  0.0000
Ti  0.6646  0.1646  0.0000
Ti  0.8354  0.6646  0.0000
Co  0.1307  0.6307  0.5000
Co  0.3693  0.1307  0.5000
Co  0.6307  0.8693  0.5000
Co  0.8693  0.3693  0.5000
W  0.0000  0.0000  0.5000
W  0.5000  0.5000  0.5000